A geometry-optimized Tc2MoF structure. Source: Alexandria, functional PBE with a Hubbard U.

a b c (Å): 4.334 4.334 4.334
angles (deg): 60.00 60.00 60.00
Fractional coordinates of all 4 atoms:
1 Tc 0.250 0.250 0.250
2 Tc 0.750 0.750 0.750
3 Mo 0.000 0.000 0.000
4 F 0.500 0.500 0.500

**E above lowest polymorph**: 0.000 eV/atom
**DFT total energy**: -6.740 eV/atom
**M_tot**: 0.00 μB/cell
**Fermi-level density of states**: 4.95 states/eV/f.u.
**Calculated density**: 8.972 Mg/m³